Here is an optimized crystal structure of ZrBeCd2 from the Alexandria database. Energies are from GGA-PBEsol.

abc: 4.633 4.633 4.633
angles: 60.00 60.00 60.00
Atoms (fractional coordinates):
Zr1 0.500 0.500 0.500
Cd1 0.000 0.000 0.000
Cd2 0.750 0.750 0.750
Be1 0.250 0.250 0.250

**V**: 70.3 Å³ per cell
**N(E_F)**: 1.3 states/eV per cell
**DFT total energy**: -3.737 eV/atom
**Size of the total moment**: 0.0 μB per cell

---

Here is an optimized crystal structure of ZrBeCd2 from the Alexandria database. Energies are from GGA-PBEsol.

abc: 2.800 5.124 5.412
angles: 109.13 90.00 90.00
Atoms (fractional coordinates):
Zr1 0.500 0.000 0.500
Cd1 0.000 0.000 0.000
Cd2 0.500 0.500 0.000
Be1 0.000 0.500 0.500

**V**: 73.4 Å³ per cell
**N(E_F)**: 2.4 states/eV per cell
**DFT total energy**: -3.651 eV/atom
**Size of the total moment**: 0.0 μB per cell

---

Here is an optimized crystal structure of CeBe13 from the Alexandria database. Energies are from GGA-PBEsol.

abc: 7.226 7.226 7.226
angles: 60.00 60.00 60.00
Atoms (fractional coordinates):
Be1 0.790 0.210 0.561
Be2 0.290 0.710 0.939
Be3 0.939 0.710 0.061
Be4 0.710 0.939 0.290
Be5 0.061 0.939 0.710
Be6 0.710 0.061 0.939
Ce1 0.750 0.750 0.750
Ce2 0.250 0.250 0.250
Be7 0.439 0.790 0.561
Be8 0.061 0.290 0.939
Be9 0.290 0.939 0.061
Be10 0.710 0.290 0.061
Be11 0.790 0.439 0.210
Be12 0.790 0.561 0.439
Be13 0.290 0.061 0.710
Be14 0.210 0.439 0.561
Be15 0.561 0.790 0.210
Be16 0.439 0.210 0.790
Be17 0.000 0.000 0.000
Be18 0.939 0.290 0.710
Be19 0.500 0.500 0.500
Be20 0.939 0.061 0.290
Be21 0.561 0.210 0.439
Be22 0.439 0.561 0.210
Be23 0.061 0.710 0.290
Be24 0.210 0.790 0.439
Be25 0.210 0.561 0.790
Be26 0.561 0.439 0.790

**V**: 266.8 Å³ per cell
**N(E_F)**: 12.6 states/eV per cell
**DFT total energy**: -4.318 eV/atom
**Size of the total moment**: 0.7 μB per cell

---

Here is an optimized crystal structure of Ce3BeCrS7 from the Alexandria database. Energies are from GGA-PBEsol.

abc: 5.894 9.401 9.401
angles: 120.00 90.00 90.00
Atoms (fractional coordinates):
S1 0.517 0.466 0.910
Ce1 0.227 0.172 0.380
Be1 0.135 0.667 0.333
Ce2 0.727 0.792 0.172
S2 0.306 0.227 0.123
S3 0.488 0.667 0.333
Ce3 0.727 0.828 0.620
S4 0.988 0.333 0.667
S5 0.806 0.123 0.896
Ce4 0.227 0.208 0.828
Cr1 0.059 0.000 0.000
S6 0.017 0.557 0.466
Be2 0.635 0.333 0.667
S7 0.806 0.773 0.877
S8 0.517 0.090 0.557
S9 0.017 0.534 0.090
S10 0.306 0.877 0.104
S11 0.017 0.910 0.443
S12 0.806 0.104 0.227
Ce5 0.727 0.380 0.208
S13 0.306 0.896 0.773
S14 0.517 0.443 0.534
Cr2 0.559 0.000 0.000
Ce6 0.227 0.620 0.792

**V**: 451.1 Å³ per cell
**N(E_F)**: 21.0 states/eV per cell
**Energy relative to the elements, uncorrected**: -1.583 eV per atom
**DFT total energy**: -6.976 eV/atom
**Size of the total moment**: 1.7 μB per cell

---

Here is an optimized crystal structure of LaCeBe26 from the Alexandria database. Energies are from GGA-PBEsol.

abc: 7.267 7.267 7.267
angles: 60.00 60.00 60.00
Atoms (fractional coordinates):
La1 0.500 0.500 0.500
Be1 0.689 0.814 0.459
Be2 0.037 0.459 0.814
Be3 0.186 0.311 0.541
Be4 0.037 0.689 0.459
Be5 0.814 0.689 0.037
Be6 0.963 0.541 0.311
Be7 0.186 0.963 0.311
Be8 0.963 0.186 0.541
Be9 0.459 0.037 0.689
Be10 0.963 0.311 0.186
Be11 0.541 0.186 0.311
Be12 0.814 0.037 0.459
Be13 0.250 0.250 0.250
Be14 0.186 0.541 0.963
Be15 0.459 0.689 0.814
Be16 0.459 0.814 0.037
Be17 0.311 0.186 0.963
Be18 0.037 0.814 0.689
Be19 0.311 0.963 0.541
Be20 0.750 0.750 0.750
Be21 0.814 0.459 0.689
Be22 0.689 0.459 0.037
Be23 0.689 0.037 0.814
Be24 0.541 0.311 0.963
Ce1 0.000 0.000 0.000
Be25 0.541 0.963 0.186
Be26 0.311 0.541 0.186

**V**: 271.4 Å³ per cell
**N(E_F)**: 9.9 states/eV per cell
**DFT total energy**: -4.273 eV/atom
**Size of the total moment**: 0.2 μB per cell

---

Here is an optimized crystal structure of CeBeO3 from the Alexandria database. Energies are from GGA-PBEsol.

abc: 3.557 3.557 3.557
angles: 90.00 90.00 90.00
Atoms (fractional coordinates):
O1 0.500 0.500 0.000
Ce1 0.000 0.000 0.000
Be1 0.500 0.500 0.500
O2 0.000 0.500 0.500
O3 0.500 0.000 0.500

**V**: 45.0 Å³ per cell
**Energy relative to the elements, uncorrected**: -2.836 eV per atom
**DFT total energy**: -8.105 eV/atom
**Size of the total moment**: 0.0 μB per cell

---

Here is an optimized crystal structure of Be3Cl from the Alexandria database. Energies are from GGA-PBEsol.

abc: 2.896 4.420 4.420
angles: 115.37 102.61 102.61
Atoms (fractional coordinates):
Be1 0.000 0.500 0.000
Be2 0.000 0.000 0.500
Cl1 0.500 0.000 0.000
Be3 0.500 0.500 0.500

**V**: 46.7 Å³ per cell
**Excess energy over the best structure of this formula in the dataset**: 0 meV/atom
**N(E_F)**: 0.8 states/eV per cell
**Energy relative to the elements, uncorrected**: 0.642 eV per atom
**DFT total energy**: -2.860 eV/atom
**Size of the total moment**: 0.0 μB per cell

---

Here is an optimized crystal structure of Be3Cl from the Alexandria database. Energies are from GGA-PBEsol.

abc: 4.542 4.542 4.542
angles: 90.00 90.00 90.00
Atoms (fractional coordinates):
Be1 0.500 0.000 0.750
Be2 0.750 0.500 0.000
Cl1 0.500 0.500 0.500
Cl2 0.000 0.000 0.000
Be3 0.250 0.500 0.000
Be4 0.000 0.750 0.500
Be5 0.000 0.250 0.500
Be6 0.500 0.000 0.250

**V**: 93.7 Å³ per cell
**Excess energy over the best structure of this formula in the dataset**: 307 meV/atom
**N(E_F)**: 4.1 states/eV per cell
**Energy relative to the elements, uncorrected**: 0.949 eV per atom
**DFT total energy**: -2.553 eV/atom
**Size of the total moment**: 0.0 μB per cell

---

Here is an optimized crystal structure of Be3Cl from the Alexandria database. Energies are from GGA-PBEsol.

abc: 3.672 3.672 3.672
angles: 90.00 90.00 90.00
Atoms (fractional coordinates):
Be1 0.000 0.500 0.500
Be2 0.500 0.500 0.000
Be3 0.500 0.000 0.500
Cl1 0.000 0.000 0.000

**V**: 49.5 Å³ per cell
**Excess energy over the best structure of this formula in the dataset**: 424 meV/atom
**N(E_F)**: 1.4 states/eV per cell
**Energy relative to the elements, uncorrected**: 1.066 eV per atom
**DFT total energy**: -2.436 eV/atom
**Size of the total moment**: 0.0 μB per cell

---

Here is an optimized crystal structure of BeCl5 from the Alexandria database. Energies are from GGA-PBEsol.

abc: 3.141 6.703 7.459
angles: 89.87 102.15 90.00
Atoms (fractional coordinates):
Cl1 0.385 0.779 0.769
Cl2 0.235 0.777 0.469
Cl3 0.656 0.276 0.311
Cl4 0.537 0.781 0.074
Be1 0.074 0.275 0.149
Cl5 0.947 0.279 0.894

**V**: 153.5 Å³ per cell
**N(E_F)**: 4.2 states/eV per cell
**Energy relative to the elements, uncorrected**: -0.517 eV per atom
**DFT total energy**: -2.857 eV/atom
**Size of the total moment**: 0.1 μB per cell

---

Here is an optimized crystal structure of Be2CoCl from the Alexandria database. Energies are from GGA-PBEsol.

abc: 2.770 3.957 4.583
angles: 114.70 106.41 92.62
Atoms (fractional coordinates):
Be1 0.000 0.000 0.500
Be2 0.500 0.500 0.500
Cl1 0.000 0.000 0.000
Co1 0.500 0.500 0.000

**V**: 43.0 Å³ per cell
**N(E_F)**: 1.7 states/eV per cell
**Energy relative to the elements, uncorrected**: 0.448 eV per atom
**DFT total energy**: -3.988 eV/atom
**Size of the total moment**: 0.0 μB per cell

---

Here is an optimized crystal structure of BeCoCl2 from the Alexandria database. Energies are from GGA-PBEsol.

abc: 3.351 3.351 6.941
angles: 76.03 76.03 60.00
Atoms (fractional coordinates):
Cl1 0.100 0.100 0.700
Cl2 0.900 0.900 0.300
Co1 0.500 0.500 0.500
Be1 0.000 0.000 0.000

**V**: 64.8 Å³ per cell
**N(E_F)**: 3.1 states/eV per cell
**Energy relative to the elements, uncorrected**: 0.114 eV per atom
**DFT total energy**: -3.825 eV/atom
**Size of the total moment**: 1.2 μB per cell

---

Here is an optimized crystal structure of BeCo4Cl from the Alexandria database. Energies are from GGA-PBEsol.

abc: 4.690 4.690 4.690
angles: 60.00 60.00 60.00
Atoms (fractional coordinates):
Co1 0.375 0.874 0.375
Co2 0.874 0.375 0.375
Co3 0.375 0.375 0.375
Co4 0.375 0.375 0.874
Cl1 0.000 0.000 0.000
Be1 0.750 0.750 0.750

**V**: 73.0 Å³ per cell
**N(E_F)**: 6.1 states/eV per cell
**Energy relative to the elements, uncorrected**: 0.710 eV per atom
**DFT total energy**: -5.450 eV/atom
**Size of the total moment**: 6.8 μB per cell